First-principles (PBE) data for a geometry-optimized AlC structure, as listed in the Alexandria database.

The space-group type is Fddd. For the energy relative to the lowest polymorph listed for this composition, the calculation gives 494 meV/atom.

a b c (Å): 7.4894 10.7684 5.9313
angles (deg): 90.00 90.00 90.00
Last column: nearest neighbours and their distance in Å.
Positions (direct):
Al  0.1801  0.0000  0.0000  4 C 1.96-2.03
Al  0.8199  0.0000  0.0000  4 C 1.96-2.03
Al  0.0699  0.7500  0.2500  4 C 1.96-2.03
Al  0.4301  0.7500  0.2500  4 C 1.96-2.03
Al  0.1801  0.5000  0.5000  4 C 1.96-2.03
Al  0.8199  0.5000  0.5000  4 C 1.96-2.03
Al  0.0699  0.2500  0.7500  4 C 1.96-2.03
Al  0.4301  0.2500  0.7500  4 C 1.96-2.03
Al  0.6801  0.0000  0.5000  4 C 1.96-2.03
Al  0.3199  0.0000  0.5000  4 C 1.96-2.03
Al  0.5699  0.7500  0.7500  4 C 1.96-2.03
Al  0.9301  0.7500  0.7500  4 C 1.96-2.03
Al  0.6801  0.5000  0.0000  4 C 1.96-2.03
Al  0.3199  0.5000  0.0000  4 C 1.96-2.03
Al  0.5699  0.2500  0.2500  4 C 1.96-2.03
Al  0.9301  0.2500  0.2500  4 C 1.96-2.03
C  0.0000  0.8589  0.0000  4 Al 1.96-2.03
C  0.0000  0.1411  0.0000  4 Al 1.96-2.03
C  0.2500  0.8911  0.2500  4 Al 1.96-2.03
C  0.2500  0.6089  0.2500  4 Al 1.96-2.03
C  0.0000  0.3589  0.5000  4 Al 1.96-2.03
C  0.0000  0.6411  0.5000  4 Al 1.96-2.03
C  0.2500  0.3911  0.7500  4 Al 1.96-2.03
C  0.2500  0.1089  0.7500  4 Al 1.96-2.03
C  0.5000  0.8589  0.5000  4 Al 1.96-2.03
C  0.5000  0.1411  0.5000  4 Al 1.96-2.03
C  0.7500  0.8911  0.7500  4 Al 1.96-2.03
C  0.7500  0.6089  0.7500  4 Al 1.96-2.03
C  0.5000  0.3589  0.0000  4 Al 1.96-2.03
C  0.5000  0.6411  0.0000  4 Al 1.96-2.03
C  0.7500  0.3911  0.2500  4 Al 1.96-2.03
C  0.7500  0.1089  0.2500  4 Al 1.96-2.03